1.
A geometry-optimized NiSbP2 structure, computed with GGA-PBE.

The structure in CIF format:
```
data_NiSbP2
_chemical_formula_sum 'Ni1 Sb1 P2'
_space_group_name_H-M_alt 'P 1'
_space_group_IT_number 1
_cell_length_a 3.2008
_cell_length_b 3.2008
_cell_length_c 6.8807
_cell_angle_alpha 90.00
_cell_angle_beta 90.00
_cell_angle_gamma 90.00
loop_
_space_group_symop_operation_xyz
'x,y,z'
loop_
_atom_site_label
_atom_site_fract_x
_atom_site_fract_y
_atom_site_fract_z
Ni1 0.5000 0.5000 0.7958
P1 0.5000 0.5000 0.1287
P2 0.0000 0.0000 0.0018
Sb1 0.0000 0.0000 0.5736
```

Properties
M_tot ... 0.0 μB/cell
DFT total energy ... -5.03 eV/atom
SG ... P4mm, No. 99



2.
A geometry-optimized Pr4YEr3Te8 structure, computed with GGA-PBE.

The structure in CIF format:
```
data_Pr4YEr3Te8
_chemical_formula_sum 'Pr4 Y1 Er3 Te8'
_space_group_name_H-M_alt 'P 1'
_space_group_IT_number 1
_cell_length_a 8.7250
_cell_length_b 9.0148
_cell_length_c 8.7254
_cell_angle_alpha 118.95
_cell_angle_beta 120.00
_cell_angle_gamma 90.00
loop_
_space_group_symop_operation_xyz
'x,y,z'
loop_
_atom_site_label
_atom_site_fract_x
_atom_site_fract_y
_atom_site_fract_z
Te1 0.2577 0.2671 0.0124
Er1 0.0000 0.5000 0.5000
Er2 0.5000 0.5000 0.0000
Te2 0.2453 0.7329 0.9876
Te3 0.7547 0.2671 0.0124
Pr1 0.5000 0.0000 0.0000
Y1 0.0000 0.5000 0.0000
Pr2 0.5000 0.0000 0.5000
Te4 0.7439 0.7316 0.4877
Te5 0.7423 0.7329 0.9876
Er3 0.5000 0.5000 0.5000
Te6 0.2561 0.2684 0.5123
Te7 0.2453 0.7329 0.4905
Te8 0.7547 0.2671 0.5095
Pr3 0.0000 0.0000 0.0000
Pr4 0.0000 0.0000 0.5000
```

Properties
M_tot ... 0.0 μB/cell
DFT total energy ... -5.37 eV/atom
SG ... R-3m, No. 166



3.
A geometry-optimized MnBr structure, computed with GGA-PBE.

The structure in CIF format:
```
data_MnBr
_chemical_formula_sum 'Mn2 Br2'
_space_group_name_H-M_alt 'P 1'
_space_group_IT_number 1
_cell_length_a 4.9896
_cell_length_b 4.9896
_cell_length_c 4.9896
_cell_angle_alpha 60.00
_cell_angle_beta 60.00
_cell_angle_gamma 60.00
loop_
_space_group_symop_operation_xyz
'x,y,z'
loop_
_atom_site_label
_atom_site_fract_x
_atom_site_fract_y
_atom_site_fract_z
Br1 0.0000 0.0000 0.0000
Mn1 0.5000 0.5000 0.5000
Br2 0.2500 0.2500 0.2500
Mn2 0.7500 0.7500 0.7500
```

Properties
M_tot ... 8.5 μB/cell
DFT total energy ... -4.71 eV/atom
SG ... Fd-3m, No. 227



4.
A geometry-optimized NiTe2I structure, computed with GGA-PBE.

The structure in CIF format:
```
data_NiTe2I
_chemical_formula_sum 'Ni1 Te2 I1'
_space_group_name_H-M_alt 'P 1'
_space_group_IT_number 1
_cell_length_a 3.9263
_cell_length_b 3.9263
_cell_length_c 8.3612
_cell_angle_alpha 76.42
_cell_angle_beta 76.42
_cell_angle_gamma 60.00
loop_
_space_group_symop_operation_xyz
'x,y,z'
loop_
_atom_site_label
_atom_site_fract_x
_atom_site_fract_y
_atom_site_fract_z
Ni1 0.6688 0.6688 0.9936
Te1 0.2838 0.2838 0.1485
I1 0.4921 0.4921 0.5238
Te2 0.0553 0.0553 0.8341
```

Properties
M_tot ... 0.0 μB/cell
DFT total energy ... -3.56 eV/atom
SG ... R3m, No. 160



5.
A geometry-optimized ZrSbAs2 structure, computed with GGA-PBE.

The structure in CIF format:
```
data_ZrSbAs2
_chemical_formula_sum 'Zr1 Sb1 As2'
_space_group_name_H-M_alt 'P 1'
_space_group_IT_number 1
_cell_length_a 9.9041
_cell_length_b 9.9041
_cell_length_c 9.9041
_cell_angle_alpha 19.08
_cell_angle_beta 19.08
_cell_angle_gamma 19.08
loop_
_space_group_symop_operation_xyz
'x,y,z'
loop_
_atom_site_label
_atom_site_fract_x
_atom_site_fract_y
_atom_site_fract_z
Sb1 0.5085 0.5085 0.5085
As1 0.7318 0.7318 0.7318
Zr1 0.2595 0.2595 0.2595
As2 0.0002 0.0002 0.0002
```

Properties
M_tot ... 0.0 μB/cell
DFT total energy ... -5.50 eV/atom
SG ... R3m, No. 160



6.
A geometry-optimized CaCd3Ag8 structure, computed with GGA-PBE.

The structure in CIF format:
```
data_CaCd3Ag8
_chemical_formula_sum 'Ca1 Cd3 Ag8'
_space_group_name_H-M_alt 'P 1'
_space_group_IT_number 1
_cell_length_a 5.6172
_cell_length_b 5.6172
_cell_length_c 9.6312
_cell_angle_alpha 73.05
_cell_angle_beta 73.05
_cell_angle_gamma 60.00
loop_
_space_group_symop_operation_xyz
'x,y,z'
loop_
_atom_site_label
_atom_site_fract_x
_atom_site_fract_y
_atom_site_fract_z
Cd1 0.3752 0.3752 0.8745
Cd2 0.4940 0.4940 0.5179
Ca1 0.8752 0.8752 0.3744
Ag1 0.6879 0.6879 0.9364
Ag2 0.4384 0.4384 0.1833
Ag3 0.4384 0.9399 0.1833
Ag4 0.9372 0.9372 0.6896
Ag5 0.4359 0.9372 0.6896
Ag6 0.9372 0.4359 0.6896
Ag7 0.9399 0.4384 0.1833
Ag8 0.1877 0.1877 0.4369
Cd3 0.0029 0.0029 0.9913
```

Properties
M_tot ... 0.0 μB/cell
SG ... R3m, No. 160
Formation energy ... -70 meV per atom



7.
A geometry-optimized LaOs2W structure, computed with GGA-PBE.

The structure in CIF format:
```
data_LaOs2W
_chemical_formula_sum 'La1 Os2 W1'
_space_group_name_H-M_alt 'P 1'
_space_group_IT_number 1
_cell_length_a 4.5341
_cell_length_b 4.5341
_cell_length_c 6.5654
_cell_angle_alpha 76.04
_cell_angle_beta 76.04
_cell_angle_gamma 40.03
loop_
_space_group_symop_operation_xyz
'x,y,z'
loop_
_atom_site_label
_atom_site_fract_x
_atom_site_fract_y
_atom_site_fract_z
Os1 0.4851 0.4851 0.5881
Os2 0.0149 0.0149 0.9119
W1 0.7500 0.7500 0.7500
La1 0.2500 0.2500 0.2500
```

Properties
M_tot ... 0.0 μB/cell
SG ... C2/m, No. 12
Formation energy ... 436 meV per atom



8.
A geometry-optimized TaTlO3 structure, computed with GGA-PBE.

The structure in CIF format:
```
data_TaTlO3
_chemical_formula_sum 'Ta1 Tl1 O3'
_space_group_name_H-M_alt 'P 1'
_space_group_IT_number 1
_cell_length_a 4.0820
_cell_length_b 4.0820
_cell_length_c 4.0820
_cell_angle_alpha 90.00
_cell_angle_beta 90.00
_cell_angle_gamma 90.00
loop_
_space_group_symop_operation_xyz
'x,y,z'
loop_
_atom_site_label
_atom_site_fract_x
_atom_site_fract_y
_atom_site_fract_z
Ta1 0.0000 0.0000 0.0000
O1 0.0000 0.5000 0.0000
O2 0.0000 0.0000 0.5000
O3 0.5000 0.0000 0.0000
Tl1 0.5000 0.5000 0.5000
```

Properties
M_tot ... 0.0 μB/cell
DFT total energy ... -7.98 eV/atom
SG ... Pm-3m, No. 221



9.
A geometry-optimized La2PmScBi4 structure, computed with GGA-PBE.

The structure in CIF format:
```
data_La2PmScBi4
_chemical_formula_sum 'La2 Pm1 Sc1 Bi4'
_space_group_name_H-M_alt 'P 1'
_space_group_IT_number 1
_cell_length_a 4.5826
_cell_length_b 7.9243
_cell_length_c 7.8964
_cell_angle_alpha 109.59
_cell_angle_beta 90.00
_cell_angle_gamma 90.00
loop_
_space_group_symop_operation_xyz
'x,y,z'
loop_
_atom_site_label
_atom_site_fract_x
_atom_site_fract_y
_atom_site_fract_z
La1 0.0000 0.5000 0.5000
Bi1 0.5000 0.7658 0.7699
Sc1 0.0000 0.0000 0.0000
La2 0.5000 0.0000 0.5000
Bi2 0.0000 0.2453 0.7630
Bi3 0.0000 0.7547 0.2370
Pm1 0.5000 0.5000 0.0000
Bi4 0.5000 0.2342 0.2301
```

Properties
M_tot ... 0.0 μB/cell
SG ... P2/m, No. 10
Formation energy ... -904 meV per atom



10.
A geometry-optimized ScInOsPd structure, computed with GGA-PBE.

The structure in CIF format:
```
data_ScInOsPd
_chemical_formula_sum 'Sc1 In1 Os1 Pd1'
_space_group_name_H-M_alt 'P 1'
_space_group_IT_number 1
_cell_length_a 4.6023
_cell_length_b 4.6023
_cell_length_c 4.6023
_cell_angle_alpha 60.00
_cell_angle_beta 60.00
_cell_angle_gamma 60.00
loop_
_space_group_symop_operation_xyz
'x,y,z'
loop_
_atom_site_label
_atom_site_fract_x
_atom_site_fract_y
_atom_site_fract_z
Pd1 0.2500 0.2500 0.2500
Sc1 0.0000 0.0000 0.0000
In1 0.5000 0.5000 0.5000
Os1 0.7500 0.7500 0.7500
```

Properties
M_tot ... 0.0 μB/cell
SG ... F-43m, No. 216
Formation energy ... -372 meV per atom



11.
A geometry-optimized Y2ZrAl structure, computed with GGA-PBE.

The structure in CIF format:
```
data_Y2ZrAl
_chemical_formula_sum 'Y2 Zr1 Al1'
_space_group_name_H-M_alt 'P 1'
_space_group_IT_number 1
_cell_length_a 10.6291
_cell_length_b 10.6291
_cell_length_c 10.6291
_cell_angle_alpha 18.43
_cell_angle_beta 18.43
_cell_angle_gamma 18.43
loop_
_space_group_symop_operation_xyz
'x,y,z'
loop_
_atom_site_label
_atom_site_fract_x
_atom_site_fract_y
_atom_site_fract_z
Al1 0.7500 0.7500 0.7500
Zr1 0.2500 0.2500 0.2500
Y1 0.0031 0.0031 0.0031
Y2 0.4969 0.4969 0.4969
```

Properties
M_tot ... 0.0 μB/cell
SG ... R-3m, No. 166
Formation energy ... -13 meV per atom



12.
A geometry-optimized Dy3ScS structure, computed with GGA-PBE.

The structure in CIF format:
```
data_Dy3ScS
_chemical_formula_sum 'Dy3 Sc1 S1'
_space_group_name_H-M_alt 'P 1'
_space_group_IT_number 1
_cell_length_a 5.2394
_cell_length_b 5.2394
_cell_length_c 5.2394
_cell_angle_alpha 90.00
_cell_angle_beta 90.00
_cell_angle_gamma 90.00
loop_
_space_group_symop_operation_xyz
'x,y,z'
loop_
_atom_site_label
_atom_site_fract_x
_atom_site_fract_y
_atom_site_fract_z
Sc1 0.5000 0.5000 0.5000
S1 0.0000 0.0000 0.0000
Dy1 0.0000 0.0000 0.5000
Dy2 0.5000 0.0000 0.0000
Dy3 0.0000 0.5000 0.0000
```

Properties
M_tot ... 0.0 μB/cell
DFT total energy ... -5.46 eV/atom
SG ... Pm-3m, No. 221



13.
A geometry-optimized MnSb structure, computed with GGA-PBE.

The structure in CIF format:
```
data_MnSb
_chemical_formula_sum 'Mn2 Sb2'
_space_group_name_H-M_alt 'P 1'
_space_group_IT_number 1
_cell_length_a 4.0890
_cell_length_b 4.0890
_cell_length_c 5.6061
_cell_angle_alpha 90.00
_cell_angle_beta 90.00
_cell_angle_gamma 120.00
loop_
_space_group_symop_operation_xyz
'x,y,z'
loop_
_atom_site_label
_atom_site_fract_x
_atom_site_fract_y
_atom_site_fract_z
Mn1 0.0000 0.0000 0.0000
Sb1 0.3333 0.6667 0.2500
Mn2 0.0000 0.0000 0.5000
Sb2 0.6667 0.3333 0.7500
```

Properties
M_tot ... 6.3 μB/cell
DFT total energy ... -6.67 eV/atom
SG ... P6_3/mmc, No. 194



14.
A geometry-optimized YAl2Te structure, computed with GGA-PBE.

The structure in CIF format:
```
data_YAl2Te
_chemical_formula_sum 'Y1 Al2 Te1'
_space_group_name_H-M_alt 'P 1'
_space_group_IT_number 1
_cell_length_a 5.1321
_cell_length_b 5.1321
_cell_length_c 5.1321
_cell_angle_alpha 60.00
_cell_angle_beta 60.00
_cell_angle_gamma 60.00
loop_
_space_group_symop_operation_xyz
'x,y,z'
loop_
_atom_site_label
_atom_site_fract_x
_atom_site_fract_y
_atom_site_fract_z
Al1 0.0000 0.0000 0.0000
Al2 0.7500 0.7500 0.7500
Y1 0.2500 0.2500 0.2500
Te1 0.5000 0.5000 0.5000
```

Properties
M_tot ... 0.0 μB/cell
DFT total energy ... -4.42 eV/atom
SG ... F-43m, No. 216



15.
A geometry-optimized GaFeCoSi structure, computed with GGA-PBE.

The structure in CIF format:
```
data_GaFeCoSi
_chemical_formula_sum 'Ga1 Fe1 Co1 Si1'
_space_group_name_H-M_alt 'P 1'
_space_group_IT_number 1
_cell_length_a 3.9900
_cell_length_b 3.9900
_cell_length_c 3.9900
_cell_angle_alpha 60.00
_cell_angle_beta 60.00
_cell_angle_gamma 60.00
loop_
_space_group_symop_operation_xyz
'x,y,z'
loop_
_atom_site_label
_atom_site_fract_x
_atom_site_fract_y
_atom_site_fract_z
Co1 0.5000 0.5000 0.5000
Si1 0.7500 0.7500 0.7500
Ga1 0.2500 0.2500 0.2500
Fe1 0.0000 0.0000 0.0000
```

Properties
M_tot ... 0.3 μB/cell
DFT total energy ... -6.32 eV/atom
SG ... F-43m, No. 216



16.
A geometry-optimized La6PmEr3 structure, computed with GGA-PBE.

The structure in CIF format:
```
data_La6PmEr3
_chemical_formula_sum 'La6 Pm1 Er3'
_space_group_name_H-M_alt 'P 1'
_space_group_IT_number 1
_cell_length_a 10.0343
_cell_length_b 10.0343
_cell_length_c 7.0942
_cell_angle_alpha 44.99
_cell_angle_beta 44.99
_cell_angle_gamma 60.00
loop_
_space_group_symop_operation_xyz
'x,y,z'
loop_
_atom_site_label
_atom_site_fract_x
_atom_site_fract_y
_atom_site_fract_z
Er1 0.1526 0.1526 0.5423
La1 0.7274 0.0734 0.7997
La2 0.0734 0.3995 0.7997
La3 0.8995 0.5735 0.2997
Er2 0.3998 0.3998 0.8006
La4 0.2272 0.8995 0.2997
La5 0.3995 0.7274 0.7997
La6 0.5735 0.2272 0.2997
Er3 0.6474 0.6474 0.0578
Pm1 0.8997 0.8997 0.3010
```

Properties
M_tot ... 0.0 μB/cell
SG ... R3, No. 146
Formation energy ... 189 meV per atom



17.
A geometry-optimized NaTlCdSn structure, computed with GGA-PBE.

The structure in CIF format:
```
data_NaTlCdSn
_chemical_formula_sum 'Na1 Tl1 Cd1 Sn1'
_space_group_name_H-M_alt 'P 1'
_space_group_IT_number 1
_cell_length_a 5.2977
_cell_length_b 5.2977
_cell_length_c 5.2977
_cell_angle_alpha 60.00
_cell_angle_beta 60.00
_cell_angle_gamma 60.00
loop_
_space_group_symop_operation_xyz
'x,y,z'
loop_
_atom_site_label
_atom_site_fract_x
_atom_site_fract_y
_atom_site_fract_z
Na1 0.2500 0.2500 0.2500
Cd1 0.7500 0.7500 0.7500
Sn1 0.0000 0.0000 0.0000
Tl1 0.5000 0.5000 0.5000
```

Properties
M_tot ... 0.0 μB/cell
SG ... F-43m, No. 216
Formation energy ... -81 meV per atom



18.
A geometry-optimized Tl2Fe2Si structure, computed with GGA-PBE.

The structure in CIF format:
```
data_Tl2Fe2Si
_chemical_formula_sum 'Tl2 Fe2 Si1'
_space_group_name_H-M_alt 'P 1'
_space_group_IT_number 1
_cell_length_a 4.0131
_cell_length_b 4.0131
_cell_length_c 7.0010
_cell_angle_alpha 73.34
_cell_angle_beta 73.34
_cell_angle_gamma 90.00
loop_
_space_group_symop_operation_xyz
'x,y,z'
loop_
_atom_site_label
_atom_site_fract_x
_atom_site_fract_y
_atom_site_fract_z
Si1 0.0000 0.0000 0.0000
Fe1 0.4142 0.4142 0.1715
Fe2 0.5858 0.5858 0.8285
Tl1 0.2500 0.7500 0.5000
Tl2 0.7500 0.2500 0.5000
```

Properties
M_tot ... 5.2 μB/cell
DFT total energy ... -4.47 eV/atom
SG ... I4/mmm, No. 139



19.
A geometry-optimized Ca3ScAg structure, computed with GGA-PBE.

The structure in CIF format:
```
data_Ca3ScAg
_chemical_formula_sum 'Ca3 Sc1 Ag1'
_space_group_name_H-M_alt 'P 1'
_space_group_IT_number 1
_cell_length_a 5.6999
_cell_length_b 5.6999
_cell_length_c 5.6999
_cell_angle_alpha 90.00
_cell_angle_beta 90.00
_cell_angle_gamma 90.00
loop_
_space_group_symop_operation_xyz
'x,y,z'
loop_
_atom_site_label
_atom_site_fract_x
_atom_site_fract_y
_atom_site_fract_z
Ca1 0.0000 0.0000 0.5000
Sc1 0.5000 0.5000 0.5000
Ca2 0.0000 0.5000 0.0000
Ag1 0.0000 0.0000 0.0000
Ca3 0.5000 0.0000 0.0000
```

Properties
M_tot ... 1.2 μB/cell
SG ... Pm-3m, No. 221
Formation energy ... 238 meV per atom



20.
A geometry-optimized Er2Tl3In3 structure, computed with GGA-PBE.

The structure in CIF format:
```
data_Er2Tl3In3
_chemical_formula_sum 'Er2 Tl3 In3'
_space_group_name_H-M_alt 'P 1'
_space_group_IT_number 1
_cell_length_a 4.6654
_cell_length_b 4.6876
_cell_length_c 9.4502
_cell_angle_alpha 90.00
_cell_angle_beta 90.00
_cell_angle_gamma 90.00
loop_
_space_group_symop_operation_xyz
'x,y,z'
loop_
_atom_site_label
_atom_site_fract_x
_atom_site_fract_y
_atom_site_fract_z
In1 0.0000 0.5000 0.0000
In2 0.5000 0.0000 0.5000
Tl1 0.5000 0.0000 0.0000
In3 0.0000 0.5000 0.5000
Tl2 0.5000 0.5000 0.2532
Tl3 0.5000 0.5000 0.7468
Er1 0.0000 0.0000 0.2523
Er2 0.0000 0.0000 0.7477
```

Properties
M_tot ... 0.0 μB/cell
SG ... Pmmm, No. 47
Formation energy ... -281 meV per atom